## A
Computed, not measured: crystalline Li2Pd4Au3 at its relaxed geometry at the GGA-PBE level of DFT.

a b c (Å): 8.9524 3.9954 8.4062
angles (deg): 90.00 109.19 90.00
With the nearest neighbours (Å) after each atom.
Space group C2/m (No. 12)
Asymmetric unit:
Li1 0.1639 0.0000 0.2178 (multiplicity 4)  7 Pd 2.75-2.84, 5 Au 2.78-2.86
Pd1 0.0032 0.5000 0.6694 (multiplicity 4)  6 Au 2.79-2.85, 3 Pd 2.80-2.83, 3 Li 2.81-2.84
Pd2 0.1670 0.0000 0.8920 (multiplicity 4)  4 Li 2.75-2.84, 4 Pd 2.78-2.80, 4 Au 2.80-2.82
Au1 0.0000 0.5000 0.0000 (multiplicity 2)  4 Li 2.78, 8 Pd 2.79-2.82
Au2 0.1696 0.0000 0.5597 (multiplicity 4)  6 Pd 2.80-2.85, 3 Li 2.81-2.86, 3 Au 2.83-2.87

Calculated values
D(E_F) = 0.470 states/eV/atom
Total moment = 0.0 μB/f.u.

***

## B
Computed, not measured: crystalline Li2Pd4Au3 at its relaxed geometry at the GGA-PBE level of DFT.

a b c (Å): 11.8069 10.4576 4.9308
angles (deg): 90.00 102.63 90.00
With the nearest neighbours (Å) after each atom.
Space group C2/c (No. 15)
Asymmetric unit:
Li1 0.1582 0.1823 0.0483 (multiplicity 8)  4 Pd 2.66-2.96, 3 Au 2.66-2.91, 1 Li 2.72
Pd1 0.0992 0.4323 0.9728 (multiplicity 8)  6 Pd 2.70-2.84, 1 Li 2.71, 4 Au 2.76-2.95
Pd2 0.2107 0.0649 0.6077 (multiplicity 8)  3 Li 2.66-2.96, 4 Pd 2.70-2.81, 3 Au 2.72-2.81
Au1 0.0000 0.0544 0.2500 (multiplicity 4)  2 Li 2.66, 4 Au 2.72-2.92, 2 Pd 2.72
Au2 0.0998 0.2945 0.4953 (multiplicity 8)  2 Li 2.72-2.91, 6 Pd 2.73-2.95, 2 Au 2.92-2.99

Calculated values
D(E_F) = 0.554 states/eV/atom
Total moment = 0.0 μB/f.u.

***

Which is most stable? The ranking, best first, is A, B.

***

## A
Computed, not measured: crystalline Li3Pd4Au at its relaxed geometry at the GGA-PBE level of DFT.

a b c (Å): 18.3931 2.8022 4.6773
angles (deg): 90.00 102.41 90.00
With the nearest neighbours (Å) after each atom.
Space group C2/m (No. 12)
Asymmetric unit:
Li1 0.0000 0.0000 0.0000 (multiplicity 2)  4 Pd 2.65, 4 Au 2.73, 4 Li 2.80-2.93
Li2 0.1297 0.0000 0.4893 (multiplicity 4)  7 Pd 2.65-2.76, 2 Au 2.78, 3 Li 2.80-2.93
Pd1 0.1206 0.5000 0.9740 (multiplicity 4)  6 Li 2.65-2.76, 1 Au 2.78, 5 Pd 2.79-2.83
Pd2 0.2475 0.0000 0.2476 (multiplicity 4)  3 Li 2.65-2.72, 9 Pd 2.72-2.83
Au1 0.0000 0.5000 0.5000 (multiplicity 2)  8 Li 2.73-2.78, 2 Pd 2.78, 2 Au 2.80

Calculated values
D(E_F) = 0.373 states/eV/atom
Total moment = 0.0 μB/f.u.

***

## B
Computed, not measured: crystalline Li3Pd4Au at its relaxed geometry at the GGA-PBE level of DFT.

a b c (Å): 4.9957 6.9367 7.5759
angles (deg): 90.00 90.00 90.00
With the nearest neighbours (Å) after each atom.
Space group Imm2 (No. 44)
Asymmetric unit:
Li1 0.0000 0.0000 0.0000 (multiplicity 2)  2 Pd 2.40, 2 Li 2.48
Li2 0.0000 0.1852 0.2807 (multiplicity 4)  3 Pd 2.39-2.55, 2 Li 2.48-2.57
Pd1 0.0000 0.3094 0.5753 (multiplicity 4)  1 Li 2.39, 1 Pd 2.64
Pd2 0.2501 0.0000 0.7290 (multiplicity 4)  3 Li 2.40-2.55, 2 Pd 2.50
Au1 0.0000 0.5000 0.9001 (multiplicity 2)  4 Pd 2.79, 4 Li 2.95

Calculated values
D(E_F) = 0.712 states/eV/atom
Total moment = 0.0 μB/f.u.

***

Which is most stable? The ranking, best first, is A, B.

***

## A
Computed, not measured: crystalline Li2Pd4Au5 at its relaxed geometry at the GGA-PBE level of DFT.

a b c (Å): 2.7792 7.2759 18.3084
angles (deg): 90.00 90.00 90.00
With the nearest neighbours (Å) after each atom.
Space group Immm (No. 71)
Asymmetric unit:
Li1 0.0000 0.0000 0.0939 (multiplicity 4)  5 Pd 2.43-2.58
Pd1 0.0000 0.0000 0.2265 (multiplicity 4)  1 Li 2.43
Pd2 0.0000 0.3167 0.5000 (multiplicity 4)  4 Li 2.58, 3 Pd 2.67-2.78, 4 Au 2.69-2.82
Au1 0.0000 0.2092 0.3520 (multiplicity 8)  2 Li 2.72, 4 Pd 2.76-2.91, 3 Au 2.78-3.04
Au2 0.0000 0.5000 0.0000 (multiplicity 2)  4 Pd 2.69, 2 Au 2.78

Calculated values
D(E_F) = 0.279 states/eV/atom
Total moment = 0.0 μB/f.u.

***

## B
Computed, not measured: crystalline Li2Pd4Au5 at its relaxed geometry at the GGA-PBE level of DFT.

a b c (Å): 5.4792 5.5878 7.4037
angles (deg): 86.26 70.75 62.43
With the nearest neighbours (Å) after each atom.
Space group P-1 (No. 2)
Asymmetric unit:
Li1 0.0786 0.1705 0.1686 (multiplicity 2)  2 Pd 2.55-2.85, 5 Au 2.63-2.80
Pd1 0.2262 0.5475 0.5058 (multiplicity 2)  1 Li 2.55, 2 Au 2.71-2.79, 4 Pd 2.77-2.84
Pd2 0.4352 0.3227 0.8126 (multiplicity 2)  7 Au 2.70-2.97, 2 Pd 2.77-2.84, 2 Li 2.85-2.89
Au1 0.0611 0.6769 0.1802 (multiplicity 2)  5 Pd 2.70-2.97, 3 Li 2.79-2.90, 4 Au 2.88-2.99
Au2 0.4155 0.8233 0.8579 (multiplicity 2)  3 Li 2.63-2.76, 4 Au 2.74-2.89, 3 Pd 2.78-2.84
Au3 0.5000 0.0000 0.5000 (multiplicity 1)  4 Pd 2.71-2.85, 4 Au 2.74-2.99

Calculated values
D(E_F) = 0.322 states/eV/atom
Total moment = 0.0 μB/f.u.

***

Which is most stable? The ranking, best first, is B, A.

***

## A
Computed, not measured: crystalline Li3Pd2Au at its relaxed geometry at the GGA-PBE level of DFT.

a b c (Å): 2.8399 2.8399 10.6809
angles (deg): 90.00 90.00 90.00
With the nearest neighbours (Å) after each atom.
Space group P4/mmm (No. 123)
Asymmetric unit:
Li1 0.0000 0.0000 0.0000 (multiplicity 1)  8 Pd 2.65, 4 Li 2.84
Li2 0.0000 0.0000 0.3234 (multiplicity 2)  4 Pd 2.65, 4 Au 2.76, 4 Li 2.84
Pd1 0.5000 0.5000 0.1619 (multiplicity 2)  8 Li 2.65, 4 Pd 2.84
Au1 0.5000 0.5000 0.5000 (multiplicity 1)  8 Li 2.76, 4 Au 2.84

Calculated values
D(E_F) = 0.221 states/eV/atom
Total moment = 0.0 μB/f.u.

***

## B
Computed, not measured: crystalline Li3Pd2Au at its relaxed geometry at the GGA-PBE level of DFT.

a b c (Å): 4.3248 12.9959 5.9175
angles (deg): 90.00 90.00 90.00
With the nearest neighbours (Å) after each atom.
Space group Cmmm (No. 65)
Asymmetric unit:
Li1 0.0000 0.0000 0.2431 (multiplicity 4)  6 Pd 2.60-2.64, 2 Au 2.62, 1 Li 2.88
Li2 0.0000 0.3342 0.2429 (multiplicity 8)  5 Pd 2.59-2.64, 3 Au 2.64-2.69, 1 Li 2.87
Pd1 0.0000 0.1664 0.0000 (multiplicity 4)  8 Li 2.60-2.61
Pd2 0.0000 0.5000 0.0000 (multiplicity 2)  8 Li 2.59-2.60
Pd3 0.0000 0.5000 0.5000 (multiplicity 2)  8 Li 2.64
Au1 0.0000 0.1638 0.5000 (multiplicity 4)  8 Li 2.62-2.69

Calculated values
D(E_F) = 0.235 states/eV/atom
Total moment = 0.0 μB/f.u.

***

Which is most stable? The ranking, best first, is B, A.

***

## A
Computed, not measured: crystalline Li6PdAu12 at its relaxed geometry at the GGA-PBE level of DFT.

a b c (Å): 9.5617 9.5617 12.0627
angles (deg): 90.00 90.00 120.00
With the nearest neighbours (Å) after each atom.
Space group R-3 (No. 148, hexagonal axes)
Asymmetric unit:
Li1 0.0260 0.4351 0.2047 (multiplicity 18)  1 Pd 2.69, 7 Au 2.71-2.91, 2 Li 2.81
Pd1 0.0000 0.0000 0.5000 (multiplicity 3)  6 Li 2.69, 6 Au 2.76
Au1 0.0248 0.1857 0.3176 (multiplicity 18)  5 Li 2.74-3.06, 1 Pd 2.76, 5 Au 2.80-2.95
Au2 0.0611 0.8466 0.9105 (multiplicity 18)  4 Li 2.71-2.91, 5 Au 2.83-2.95

Calculated values
D(E_F) = 0.308 states/eV/atom
Total moment = 0.0 μB/f.u.

***

## B
Computed, not measured: crystalline Li6PdAu12 at its relaxed geometry at the GGA-PBE level of DFT.

a b c (Å): 11.9473 11.9473 8.2429
angles (deg): 90.00 90.00 120.00
With the nearest neighbours (Å) after each atom.
Space group R-3 (No. 148, hexagonal axes)
Asymmetric unit:
Li1 0.0437 0.8473 0.2534 (multiplicity 18)  7 Au 2.68-2.97, 1 Pd 2.95
Pd1 0.0000 0.0000 0.5000 (multiplicity 3)  6 Au 2.73, 6 Li 2.95
Au1 0.0438 0.8024 0.5721 (multiplicity 18)  3 Li 2.68-2.91, 1 Pd 2.73, 5 Au 2.75-2.96
Au2 0.0629 0.8258 0.9298 (multiplicity 18)  4 Li 2.70-2.97, 6 Au 2.75-2.96

Calculated values
D(E_F) = 0.205 states/eV/atom
Total moment = 0.0 μB/f.u.

***

Which is most stable? The ranking, best first, is B, A.